No. 1
Er3Hf3Bi2Os (GGA-PBE, relaxed); symmetry = P-62m, No. 189; uncorrected energy = -7.184 eV per atom; total magnetization = 0.003 μB/atom
1.0
8.113 0.000 0.000
-4.056 7.026 0.000
0.000 0.000 3.861
Er Hf Bi Os
3 3 2 1
Cartesian
-1.004 1.740 0.000
2.009 0.000 0.000
3.052 5.286 0.000
-2.535 4.390 1.930
1.522 2.636 1.930
5.069 0.000 1.930
0.000 4.684 0.000
4.056 2.342 0.000
0.000 0.000 1.930

No. 2
Er3Hf3Bi2Os (GGA-PBE, relaxed); symmetry = P-62m, No. 189; uncorrected energy = -7.453 eV per atom; total magnetization = 0.053 μB/atom
1.0
7.982 0.000 0.000
-3.991 6.913 0.000
0.000 0.000 4.074
Er Hf Bi Os
3 3 2 1
Cartesian
-2.434 4.216 0.000
1.557 2.697 0.000
4.868 0.000 0.000
-0.901 1.560 2.037
1.801 0.000 2.037
3.090 5.352 2.037
0.000 4.608 2.037
3.991 2.304 2.037
0.000 0.000 0.000